No. 1
# PmAl3C, relaxed, DFT GGA-PBE
# VASP energy, eV for the cell shown: -23.506
# M_tot, μB/atom: 0.0019
data_PmAl3C
_chemical_formula_sum 'Pm1 Al3 C1'
_symmetry_space_group_name_H-M 'P 1'
_symmetry_Int_Tables_number 1
_cell_length_a 4.423
_cell_length_b 4.423
_cell_length_c 4.423
_cell_angle_alpha 90.00
_cell_angle_beta 90.00
_cell_angle_gamma 90.00
loop_
_symmetry_equiv_pos_as_xyz
'x,y,z'
loop_
_atom_site_label
_atom_site_fract_x
_atom_site_fract_y
_atom_site_fract_z
Al1 0.500 0.000 0.000
Al2 0.000 0.500 0.000
Al3 0.000 0.000 0.500
C1 0.000 0.000 0.000
Pm1 0.500 0.500 0.500

No. 2
# PmTmMgAl, relaxed, DFT GGA-PBE
# VASP energy, eV for the cell shown: -15.549
# M_tot, μB/atom: 0.0002
data_PmTmMgAl
_chemical_formula_sum 'Pm1 Tm1 Mg1 Al1'
_symmetry_space_group_name_H-M 'P 1'
_symmetry_Int_Tables_number 1
_cell_length_a 5.228
_cell_length_b 5.228
_cell_length_c 5.228
_cell_angle_alpha 60.00
_cell_angle_beta 60.00
_cell_angle_gamma 60.00
loop_
_symmetry_equiv_pos_as_xyz
'x,y,z'
loop_
_atom_site_label
_atom_site_fract_x
_atom_site_fract_y
_atom_site_fract_z
Al1 0.750 0.750 0.750
Mg1 0.250 0.250 0.250
Pm1 0.500 0.500 0.500
Tm1 0.000 0.000 0.000